# 1
Cs2SrI2F2: relaxed, PBE.

Properties
D(E_F) ... 0.0 states/eV/f.u.
Formation energy without anion corrections ... -16.98 eV per formula unit
Total energy ... -27.2 eV per formula unit
V ... 502.8 Å³/cell

Lattice parameters (Å, degrees): 5.0819 5.0819 19.4688 90.00 90.00 90.00
Fractional coordinates of all 14 atoms:
Cs1 0.0000 0.0000 0.1200
Cs2 0.0000 0.0000 0.8800
Cs3 0.5000 0.5000 0.3800
Cs4 0.5000 0.5000 0.6200
Sr1 0.0000 0.0000 0.5000
Sr2 0.5000 0.5000 0.0000
I1 0.0000 0.0000 0.3293
I2 0.0000 0.0000 0.6707
I3 0.5000 0.5000 0.1707
I4 0.5000 0.5000 0.8293
F1 0.0000 0.5000 0.0000
F2 0.0000 0.5000 0.5000
F3 0.5000 0.0000 0.0000
F4 0.5000 0.0000 0.5000

# 2
Er2BePt: relaxed, PBE.

Properties
Energy of formation from the pure elements ... -59.9 kJ/mol of atoms
D(E_F) ... 1.5 states/eV/f.u.
Energy relative to the lowest polymorph listed for this composition ... 0.000 eV/atom
Total energy ... -21.4 eV per formula unit
V ... 80.2 Å³/cell

Lattice parameters (Å, degrees): 3.4596 3.4596 6.7008 90.00 90.00 90.00
Fractional coordinates of all 4 atoms:
Er1 0.0000 0.0000 0.2468
Er2 0.0000 0.0000 0.7532
Be1 0.5000 0.5000 0.0000
Pt1 0.5000 0.5000 0.5000

# 3
SmBiIr: relaxed, PBE.

Properties
Energy of formation from the pure elements ... 65.4 kJ/mol of atoms
D(E_F) ... 4.8 states/eV/f.u.
Total energy ... -15.4 eV per formula unit
V ... 161.2 Å³/cell

Lattice parameters (Å, degrees): 3.1627 3.1627 16.1188 90.00 90.00 90.00
Fractional coordinates of all 6 atoms:
Sm1 0.0000 0.0000 0.0000
Sm2 0.5000 0.5000 0.5000
Bi1 0.0000 0.0000 0.6666
Bi2 0.5000 0.5000 0.1666
Ir1 0.0000 0.0000 0.8413
Ir2 0.5000 0.5000 0.3413